{
  "formula": "TiSb2ICl",
  "functional": "PBE",
  "state": "optimized geometry",
  "lattice_angstrom": [[5.0907, 0.0000, 0.0000], [0.0000, 5.0907, 0.0000], [0.0000, 0.0000, 6.4399]],
  "species": ["Ti", "Sb", "Sb", "I", "Cl"],
  "frac_coords": [[0.0000, 0.0000, 0.0000], [0.0000, 0.5000, 0.5000], [0.5000, 0.0000, 0.5000], [0.5000, 0.5000, 0.0000], [0.5000, 0.5000, 0.5000]],
  "density_g_cm3": 4.51,
  "relative_energy_ev_per_atom": 0.857,
  "final_energy_ev_per_atom": -3.092,
  "dos_at_fermi_per_ev_fu": 5.6,
  "formation_energy_uncorrected_mev_per_atom": 815
}


{
  "formula": "TiSbI2Cl",
  "functional": "PBE",
  "state": "optimized geometry",
  "lattice_angstrom": [[5.8295, 0.0000, 0.0000], [0.0000, 5.8295, 0.0000], [0.0000, 0.0000, 5.1845]],
  "species": ["Ti", "Sb", "I", "I", "Cl"],
  "frac_coords": [[0.0000, 0.0000, 0.0000], [0.5000, 0.5000, 0.0000], [0.0000, 0.5000, 0.5000], [0.5000, 0.0000, 0.5000], [0.5000, 0.5000, 0.5000]],
  "density_g_cm3": 4.33,
  "relative_energy_ev_per_atom": 1.118,
  "final_energy_ev_per_atom": -2.437,
  "dos_at_fermi_per_ev_fu": 10.9,
  "formation_energy_uncorrected_mev_per_atom": 955
}


{
  "formula": "TiSbI2Cl",
  "functional": "PBE",
  "state": "optimized geometry",
  "lattice_angstrom": [[5.3383, 0.0000, 0.0000], [0.0000, 5.3383, 0.0000], [0.0000, 0.0000, 5.5081]],
  "species": ["Ti", "Sb", "I", "I", "Cl"],
  "frac_coords": [[0.0000, 0.0000, 0.0000], [0.0000, 0.0000, 0.5000], [0.0000, 0.5000, 0.0000], [0.5000, 0.0000, 0.0000], [0.5000, 0.5000, 0.5000]],
  "density_g_cm3": 4.85,
  "relative_energy_ev_per_atom": 0.000,
  "final_energy_ev_per_atom": -3.555,
  "dos_at_fermi_per_ev_fu": 3.3,
  "formation_energy_uncorrected_mev_per_atom": -163
}


{
  "formula": "TlSbI2Cl",
  "functional": "PBE",
  "state": "optimized geometry",
  "lattice_angstrom": [[6.8414, 0.0000, 0.0000], [0.0000, 6.8414, 0.0000], [0.0000, 0.0000, 4.9200]],
  "species": ["Tl", "Sb", "I", "I", "Cl"],
  "frac_coords": [[0.0000, 0.0000, 0.0000], [0.5000, 0.5000, 0.0000], [0.0000, 0.5000, 0.5000], [0.5000, 0.0000, 0.5000], [0.5000, 0.5000, 0.5000]],
  "density_g_cm3": 4.44,
  "relative_energy_ev_per_atom": 0.578,
  "final_energy_ev_per_atom": -2.136,
  "dos_at_fermi_per_ev_fu": 4.3,
  "formation_energy_uncorrected_mev_per_atom": 151
}


{
  "formula": "TlSb2ICl",
  "functional": "PBE",
  "state": "optimized geometry",
  "lattice_angstrom": [[5.2092, 0.0000, 0.0000], [0.0000, 5.2092, 0.0000], [0.0000, 0.0000, 7.4459]],
  "species": ["Tl", "Sb", "Sb", "I", "Cl"],
  "frac_coords": [[0.0000, 0.0000, 0.0000], [0.0000, 0.5000, 0.5000], [0.5000, 0.0000, 0.5000], [0.5000, 0.5000, 0.0000], [0.5000, 0.5000, 0.5000]],
  "density_g_cm3": 5.02,
  "relative_energy_ev_per_atom": 0.000,
  "final_energy_ev_per_atom": -2.470,
  "dos_at_fermi_per_ev_fu": 4.5,
  "formation_energy_uncorrected_mev_per_atom": 332
}


{
  "formula": "TlSb2ICl",
  "functional": "PBE",
  "state": "optimized geometry",
  "lattice_angstrom": [[5.8240, 0.0000, 0.0000], [0.0000, 5.8240, 0.0000], [0.0000, 0.0000, 5.9590]],
  "species": ["Tl", "Sb", "Sb", "I", "Cl"],
  "frac_coords": [[0.0000, 0.0000, 0.0000], [0.0000, 0.5000, 0.0000], [0.5000, 0.0000, 0.0000], [0.0000, 0.0000, 0.5000], [0.5000, 0.5000, 0.5000]],
  "density_g_cm3": 5.01,
  "relative_energy_ev_per_atom": 0.283,
  "final_energy_ev_per_atom": -2.187,
  "dos_at_fermi_per_ev_fu": 5.1,
  "formation_energy_uncorrected_mev_per_atom": 615
}


{
  "formula": "TlSbICl2",
  "functional": "PBE",
  "state": "optimized geometry",
  "lattice_angstrom": [[5.3908, 0.0000, 0.0000], [0.0000, 5.3908, 0.0000], [0.0000, 0.0000, 6.4688]],
  "species": ["Tl", "Sb", "I", "Cl", "Cl"],
  "frac_coords": [[0.0000, 0.0000, 0.0000], [0.5000, 0.5000, 0.5000], [0.5000, 0.5000, 0.0000], [0.0000, 0.5000, 0.5000], [0.5000, 0.0000, 0.5000]],
  "density_g_cm3": 4.63,
  "final_energy_ev_per_atom": -2.901,
  "dos_at_fermi_per_ev_fu": 2.0,
  "formation_energy_uncorrected_mev_per_atom": -555
}


{
  "formula": "TlSbI2Cl",
  "functional": "PBE",
  "state": "optimized geometry",
  "lattice_angstrom": [[6.1580, 0.0000, 0.0000], [0.0000, 6.1580, 0.0000], [0.0000, 0.0000, 5.4449]],
  "species": ["Tl", "Sb", "I", "I", "Cl"],
  "frac_coords": [[0.0000, 0.0000, 0.0000], [0.5000, 0.5000, 0.5000], [0.0000, 0.5000, 0.5000], [0.5000, 0.0000, 0.5000], [0.5000, 0.5000, 0.0000]],
  "density_g_cm3": 4.95,
  "relative_energy_ev_per_atom": 0.000,
  "final_energy_ev_per_atom": -2.714,
  "dos_at_fermi_per_ev_fu": 0.8,
  "formation_energy_uncorrected_mev_per_atom": -427
}


{
  "formula": "TlSbI2Cl",
  "functional": "PBE",
  "state": "optimized geometry",
  "lattice_angstrom": [[5.9144, 0.0000, 0.0000], [0.0000, 5.9144, 0.0000], [0.0000, 0.0000, 6.0571]],
  "species": ["Tl", "Sb", "I", "I", "Cl"],
  "frac_coords": [[0.0000, 0.0000, 0.0000], [0.0000, 0.0000, 0.5000], [0.0000, 0.5000, 0.0000], [0.5000, 0.0000, 0.0000], [0.5000, 0.5000, 0.5000]],
  "density_g_cm3": 4.82,
  "relative_energy_ev_per_atom": 0.808,
  "final_energy_ev_per_atom": -1.906,
  "dos_at_fermi_per_ev_fu": 6.7,
  "formation_energy_uncorrected_mev_per_atom": 381
}


{
  "formula": "VSbICl2",
  "functional": "PBE",
  "state": "optimized geometry",
  "lattice_angstrom": [[5.3509, 0.0000, 0.0000], [0.0000, 5.3509, 0.0000], [0.0000, 0.0000, 6.0169]],
  "species": ["V", "Sb", "I", "Cl", "Cl"],
  "frac_coords": [[0.0000, 0.0000, 0.0000], [0.5000, 0.5000, 0.0000], [0.5000, 0.5000, 0.5000], [0.0000, 0.5000, 0.5000], [0.5000, 0.0000, 0.5000]],
  "density_g_cm3": 3.57,
  "final_energy_ev_per_atom": -2.867,
  "dos_at_fermi_per_ev_fu": 3.2,
  "formation_energy_uncorrected_mev_per_atom": 830
}


{
  "formula": "Sb2WICl",
  "functional": "PBE",
  "state": "optimized geometry",
  "lattice_angstrom": [[5.2445, 0.0000, 0.0000], [0.0000, 5.2445, 0.0000], [0.0000, 0.0000, 5.4706]],
  "species": ["Sb", "Sb", "W", "I", "Cl"],
  "frac_coords": [[0.0000, 0.5000, 0.0000], [0.5000, 0.0000, 0.0000], [0.0000, 0.0000, 0.0000], [0.0000, 0.0000, 0.5000], [0.5000, 0.5000, 0.5000]],
  "density_g_cm3": 6.51,
  "relative_energy_ev_per_atom": 0.000,
  "final_energy_ev_per_atom": -4.497,
  "dos_at_fermi_per_ev_fu": 3.8,
  "formation_energy_uncorrected_mev_per_atom": 422
}


{
  "formula": "Sb2WICl",
  "functional": "PBE",
  "state": "optimized geometry",
  "lattice_angstrom": [[5.3209, 0.0000, 0.0000], [0.0000, 5.3209, 0.0000], [0.0000, 0.0000, 5.2992]],
  "species": ["Sb", "Sb", "W", "I", "Cl"],
  "frac_coords": [[0.0000, 0.5000, 0.0000], [0.5000, 0.0000, 0.0000], [0.0000, 0.0000, 0.5000], [0.5000, 0.5000, 0.5000], [0.5000, 0.5000, 0.0000]],
  "density_g_cm3": 6.53,
  "relative_energy_ev_per_atom": 1.280,
  "final_energy_ev_per_atom": -3.217,
  "dos_at_fermi_per_ev_fu": 4.3,
  "formation_energy_uncorrected_mev_per_atom": 1702
}


{
  "formula": "YSb2ICl",
  "functional": "PBE",
  "state": "optimized geometry",
  "lattice_angstrom": [[5.1059, 0.0000, 0.0000], [0.0000, 5.1059, 0.0000], [0.0000, 0.0000, 6.2704]],
  "species": ["Y", "Sb", "Sb", "I", "Cl"],
  "frac_coords": [[0.0000, 0.0000, 0.0000], [0.0000, 0.5000, 0.5000], [0.5000, 0.0000, 0.5000], [0.5000, 0.5000, 0.0000], [0.5000, 0.5000, 0.5000]],
  "density_g_cm3": 5.03,
  "relative_energy_ev_per_atom": 0.148,
  "final_energy_ev_per_atom": -3.480,
  "dos_at_fermi_per_ev_fu": 2.4,
  "formation_energy_uncorrected_mev_per_atom": 141
}


{
  "formula": "YSb2ICl",
  "functional": "PBE",
  "state": "optimized geometry",
  "lattice_angstrom": [[5.9036, 0.0000, 0.0000], [0.0000, 5.9036, 0.0000], [0.0000, 0.0000, 5.8109]],
  "species": ["Y", "Sb", "Sb", "I", "Cl"],
  "frac_coords": [[0.0000, 0.0000, 0.0000], [0.0000, 0.5000, 0.0000], [0.5000, 0.0000, 0.0000], [0.0000, 0.0000, 0.5000], [0.5000, 0.5000, 0.5000]],
  "density_g_cm3": 4.06,
  "relative_energy_ev_per_atom": 0.000,
  "final_energy_ev_per_atom": -3.628,
  "dos_at_fermi_per_ev_fu": 4.5,
  "formation_energy_uncorrected_mev_per_atom": -7
}


{
  "formula": "ZrSbI2Cl",
  "functional": "PBE",
  "state": "optimized geometry",
  "lattice_angstrom": [[5.5902, 0.0000, 0.0000], [0.0000, 5.5902, 0.0000], [0.0000, 0.0000, 5.7794]],
  "species": ["Zr", "Sb", "I", "I", "Cl"],
  "frac_coords": [[0.0000, 0.0000, 0.0000], [0.0000, 0.0000, 0.5000], [0.0000, 0.5000, 0.0000], [0.5000, 0.0000, 0.0000], [0.5000, 0.5000, 0.5000]],
  "density_g_cm3": 4.62,
  "relative_energy_ev_per_atom": 0.000,
  "final_energy_ev_per_atom": -3.747,
  "dos_at_fermi_per_ev_fu": 3.7,
  "formation_energy_uncorrected_mev_per_atom": -223
}


{
  "formula": "ZrSbI2Cl",
  "functional": "PBE",
  "state": "optimized geometry",
  "lattice_angstrom": [[5.7687, 0.0000, 0.0000], [0.0000, 5.7687, 0.0000], [0.0000, 0.0000, 5.0848]],
  "species": ["Zr", "Sb", "I", "I", "Cl"],
  "frac_coords": [[0.0000, 0.0000, 0.0000], [0.5000, 0.5000, 0.0000], [0.0000, 0.5000, 0.5000], [0.5000, 0.0000, 0.5000], [0.5000, 0.5000, 0.5000]],
  "density_g_cm3": 4.93,
  "relative_energy_ev_per_atom": 1.087,
  "final_energy_ev_per_atom": -2.659,
  "dos_at_fermi_per_ev_fu": 8.8,
  "formation_energy_uncorrected_mev_per_atom": 864
}


{
  "formula": "Sc2I2Cl",
  "functional": "PBE",
  "state": "optimized geometry",
  "lattice_angstrom": [[9.6883, -1.8711, 0.0000], [9.6883, 1.8711, 0.0000], [-2.4078, 0.0000, 10.2674]],
  "species": ["Sc", "Sc", "Sc", "Sc", "I", "I", "I", "I", "Cl", "Cl"],
  "frac_coords": [[0.1792, 0.1792, 0.3641], [0.2971, 0.2971, 0.8725], [0.7029, 0.7029, 0.1275], [0.8208, 0.8208, 0.6359], [0.1511, 0.1511, 0.9032], [0.4294, 0.4294, 0.7818], [0.5706, 0.5706, 0.2182], [0.8489, 0.8489, 0.0968], [0.3164, 0.3164, 0.4530], [0.6836, 0.6836, 0.5470]],
  "density_g_cm3": 3.38,
  "final_energy_ev_per_atom": -4.590,
  "dos_at_fermi_per_ev_fu": 2.6,
  "formation_energy_uncorrected_mev_per_atom": -1068
}


{
  "formula": "ScICl",
  "functional": "PBE",
  "state": "optimized geometry",
  "lattice_angstrom": [[3.8347, 0.0000, 0.0000], [-1.9173, 3.3240, 0.0000], [-0.0107, -2.1939, 14.5424]],
  "species": ["Sc", "Sc", "I", "I", "Cl", "Cl"],
  "frac_coords": [[0.2453, 0.4915, 0.2277], [0.7547, 0.5085, 0.7723], [0.3783, 0.7564, 0.6424], [0.6217, 0.2436, 0.3576], [0.1213, 0.2410, 0.8717], [0.8787, 0.7590, 0.1283]],
  "density_g_cm3": 3.71,
  "relative_energy_ev_per_atom": 0.048,
  "final_energy_ev_per_atom": -4.691,
  "dos_at_fermi_per_ev_fu": 2.1,
  "formation_energy_uncorrected_mev_per_atom": -1448
}


{
  "formula": "ScICl",
  "functional": "PBE",
  "state": "optimized geometry",
  "lattice_angstrom": [[3.8364, 0.0000, 0.0000], [-1.9182, 3.3224, 0.0000], [0.0000, 0.0000, 7.2694]],
  "species": ["Sc", "I", "Cl"],
  "frac_coords": [[0.0000, 0.0000, 0.0000], [0.3333, 0.6667, 0.7410], [0.6667, 0.3333, 0.2001]],
  "density_g_cm3": 3.72,
  "relative_energy_ev_per_atom": 0.050,
  "final_energy_ev_per_atom": -4.689,
  "dos_at_fermi_per_ev_fu": 2.0,
  "formation_energy_uncorrected_mev_per_atom": -1446
}


{
  "formula": "Sc2ICl4",
  "functional": "PBE",
  "state": "optimized geometry",
  "lattice_angstrom": [[-2.9393, 2.9393, 7.7675], [2.9393, -2.9393, 7.7675], [2.9393, 2.9393, -7.7675]],
  "species": ["Sc", "Sc", "I", "Cl", "Cl", "Cl", "Cl"],
  "frac_coords": [[0.0898, 0.0898, 0.0000], [0.9102, 0.9102, 0.0000], [0.5000, 0.5000, 0.0000], [0.0000, 0.5000, 0.5000], [0.2392, 0.2392, 0.0000], [0.5000, 0.0000, 0.5000], [0.7608, 0.7608, 0.0000]],
  "density_g_cm3": 2.22,
  "final_energy_ev_per_atom": -3.682,
  "dos_at_fermi_per_ev_fu": 6.7,
  "formation_energy_uncorrected_mev_per_atom": -596
}